No. 1
DFT (SCAN) results for YCdB3 at its PBEsol-relaxed geometry.

E_form ... 1521 meV/atom
SG ... Pm-3m (221)
DOS(E_F) ... 2.2 states/eV/cell
E ... -14.59 eV per atom

extended XYZ file:
```
5
Lattice="-3.5914 -2.2856 -0.5292 -0.4299 -0.3102 4.2569 -2.3063 3.6169 0.0307" Properties=species:S:1:pos:R:3 pbc="T T T"
Y -3.1638 0.5106 1.8792
B -0.2149 -0.1551 2.1284
B -1.1532 1.8085 0.0153
B -1.7957 -1.1428 -0.2646
Cd 0.0000 0.0000 0.0000
```


No. 2
DFT (SCAN) results for Zn2CdB at its PBEsol-relaxed geometry.

E_form ... 924 meV/atom
SG ... Fm-3m (225)
DOS(E_F) ... 1.6 states/eV/cell
E ... -15.30 eV per atom

extended XYZ file:
```
4
Lattice="-1.5189 3.0447 -2.6991 -0.4412 -0.8736 -4.2313 -3.9619 -0.4130 -1.7305" Properties=species:S:1:pos:R:3 pbc="T T T"
Zn -1.4805 0.4395 -2.1652
Zn -4.4415 1.3186 -6.4957
B 0.0000 0.0000 0.0000
Cd -2.9610 0.8790 -4.3305
```


No. 3
DFT (SCAN) results for Ce3Co11B4 at its PBEsol-relaxed geometry.

E_form ... -276 meV/atom
SG ... P6/mmm (191)
DOS(E_F) ... 11.9 states/eV/cell
E ... -19.93 eV per atom

extended XYZ file:
```
18
Lattice="4.9364 0.0000 0.0000 -2.4682 4.2751 0.0000 0.0000 0.0000 9.7397" Properties=species:S:1:pos:R:3 pbc="T T T"
B 2.4682 1.4250 3.4072
B 0.0000 2.8500 3.4072
B 0.0000 2.8500 6.3325
B 2.4682 1.4250 6.3325
Co 0.0000 2.8500 0.0000
Co 1.2341 2.1375 4.8698
Co 2.4682 0.0000 4.8698
Co -1.2341 2.1375 4.8698
Co 1.2341 2.1375 7.7648
Co 2.4682 0.0000 7.7648
Co -1.2341 2.1375 7.7648
Co 1.2341 2.1375 1.9749
Co 2.4682 0.0000 1.9749
Co -1.2341 2.1375 1.9749
Co 2.4682 1.4250 0.0000
Ce 0.0000 0.0000 3.2938
Ce 0.0000 0.0000 6.4459
Ce 0.0000 0.0000 0.0000
```


No. 4
DFT (SCAN) results for Ce2Co5B2 at its PBEsol-relaxed geometry.

E_form ... -330 meV/atom
SG ... P6_3/mmc (194)
DOS(E_F) ... 19.4 states/eV/cell
E ... -21.50 eV per atom

extended XYZ file:
```
36
Lattice="5.0072 0.0000 0.0000 -2.5036 4.3363 0.0000 0.0000 0.0000 19.5863" Properties=species:S:1:pos:R:3 pbc="T T T"
Ce 2.5036 1.4454 13.1558
Ce 2.5036 1.4454 10.1663
Ce 0.0000 2.8909 0.3731
Ce 0.0000 2.8909 9.4201
Ce 0.0000 2.8909 6.4305
Ce 2.5036 1.4454 19.2132
Ce 2.5036 1.4454 16.2237
Ce 0.0000 2.8909 3.3626
Co 1.2788 3.6292 11.8414
Co -1.2789 3.6292 17.5380
Co 3.7824 0.7071 2.0483
Co 2.5036 2.8852 4.8966
Co 2.5036 2.9221 2.0483
Co 1.2247 0.7071 7.7449
Co 1.2247 0.7071 2.0483
Co 1.2567 0.7256 4.8966
Co 0.0000 1.4142 17.5380
Co 0.0000 1.4511 14.6897
Co 3.7824 0.7071 7.7449
Co 0.0000 1.4142 11.8414
Co 0.0000 0.0000 9.7932
Co 1.2469 3.6108 14.6897
Co -1.2469 3.6108 14.6897
Co 3.7505 0.7256 4.8966
Co 2.5036 2.9221 7.7449
Co 0.0000 0.0000 0.0000
Co -1.2789 3.6292 11.8414
Co 1.2788 3.6292 17.5380
B 0.0000 2.8909 13.2150
B 0.0000 2.8909 16.1645
B 2.5036 1.4454 3.4218
B 0.0000 0.0000 13.2554
B 2.5036 1.4454 6.3713
B 0.0000 0.0000 16.1240
B 0.0000 0.0000 3.4623
B 0.0000 0.0000 6.3309
```


No. 5
DFT (SCAN) results for CeCo4B4 at its PBEsol-relaxed geometry.

E_form ... -378 meV/atom
SG ... P4_2/nmc (137)
DOS(E_F) ... 13.0 states/eV/cell
E ... -16.32 eV per atom

extended XYZ file:
```
18
Lattice="4.9881 0.0000 0.0000 0.0000 4.9881 0.0000 0.0000 0.0000 6.9494" Properties=species:S:1:pos:R:3 pbc="T T T"
Ce 2.4940 2.4940 0.0000
Ce 0.0000 0.0000 3.4747
Co 3.7354 2.4940 4.4168
Co 1.2526 2.4940 4.4168
Co 2.4940 3.7354 2.5326
Co 3.7467 0.0000 6.0072
Co 1.2414 0.0000 6.0072
Co 0.0000 3.7467 0.9421
Co 0.0000 1.2414 0.9421
Co 2.4940 1.2526 2.5326
B 2.4940 4.1157 4.5891
B 3.3664 0.0000 1.1144
B 1.6216 0.0000 1.1144
B 0.0000 3.3664 5.8350
B 0.0000 1.6216 5.8350
B 2.4940 0.8724 4.5891
B 4.1157 2.4940 2.3603
B 0.8724 2.4940 2.3603
```


No. 6
DFT (SCAN) results for CeCr2B6 at its PBEsol-relaxed geometry.

E_form ... -625 meV/atom
SG ... Immm (71)
DOS(E_F) ... 3.2 states/eV/cell
E ... -14.62 eV per atom

extended XYZ file:
```
9
Lattice="-2.0366 -2.2586 -0.0923 0.3665 -2.5764 4.8072 -4.2175 1.6280 3.0730" Properties=species:S:1:pos:R:3 pbc="T T T"
Cr -4.2420 -2.5307 5.0777
Cr -1.6456 -0.6763 2.7101
B -1.4993 -2.8588 2.7381
B -4.3883 -0.3483 5.0497
B -2.2127 -2.3436 5.8728
B -3.5954 -1.0058 3.6474
B -2.2921 -2.2012 4.1404
B -3.6749 -0.8634 1.9151
Ce 0.0000 0.0000 0.0000
```


No. 7
DFT (SCAN) results for CeCrB4 at its PBEsol-relaxed geometry.

E_form ... -616 meV/atom
SG ... Pbam (55)
DOS(E_F) ... 8.4 states/eV/cell
E ... -16.06 eV per atom

extended XYZ file:
```
24
Lattice="3.4983 0.0000 0.0000 0.0000 5.9293 0.0000 0.0000 0.0000 11.4657" Properties=species:S:1:pos:R:3 pbc="T T T"
Ce 0.0000 3.6980 4.0015
Ce 0.0000 2.2314 7.4642
Ce 0.0000 0.7333 1.7314
Ce 0.0000 5.1960 9.7343
Cr 0.0000 3.6921 0.9316
Cr 0.0000 2.2372 10.5342
Cr 0.0000 0.7275 4.8013
Cr 0.0000 5.2019 6.6644
B 1.7492 4.6157 2.0994
B 1.7492 1.3136 9.3663
B 1.7492 1.6511 3.6335
B 1.7492 4.2783 7.8323
B 1.7492 5.1002 0.3823
B 1.7492 0.8291 11.0834
B 1.7492 2.1356 5.3505
B 1.7492 3.7938 6.1152
B 1.7492 5.2629 5.2077
B 1.7492 0.6664 6.2580
B 1.7492 2.2982 0.5252
B 1.7492 3.6311 10.9406
B 1.7492 5.7790 3.5544
B 1.7492 0.1504 7.9113
B 1.7492 2.8143 2.1784
B 1.7492 3.1151 9.2873
```


No. 8
DFT (SCAN) results for CeEuB12 at its PBEsol-relaxed geometry.

E_form ... -568 meV/atom
SG ... P4/mmm (123)
DOS(E_F) ... 4.9 states/eV/cell
E ... -13.96 eV per atom

extended XYZ file:
```
14
Lattice="-1.8943 3.1924 -1.7594 -3.9576 -3.5994 -2.2700 -3.3057 0.6482 4.7353" Properties=species:S:1:pos:R:3 pbc="T T T"
Eu 0.0000 0.0000 0.0000
B -2.3569 -1.1625 -1.4862
B -2.0309 0.9613 2.0165
B -4.0172 -0.6457 -1.6423
B -3.6916 1.4756 1.8564
B -2.8301 0.4339 -0.9613
B -6.4575 -1.0399 0.2699
B -5.1404 0.8870 2.3481
B -5.4659 -1.2344 -1.1505
B -6.3275 -0.1927 1.6672
B -2.7000 1.2812 0.4360
B -3.4950 0.7555 -2.5432
B -3.1690 2.8793 0.9594
Ce -3.6316 -1.4756 1.2326
```